First-principles (GGA-PBE) data for KCo2SiTe after structural relaxation, as listed in Alexandria.

Geometry as POSCAR:
```
KCo2SiTe
1.0
4.7759 0.0000 0.0000
0.0000 4.7759 0.0000
0.0000 0.0000 5.5664
K Co Si Te
1 2 1 1
direct
0.0000 0.0000 0.0000
0.0000 0.5000 0.5000
0.5000 0.0000 0.5000
0.5000 0.5000 0.0000
0.5000 0.5000 0.5000
```

density = 4.089 g/cm3
formation energy (no corrections) = 0.95 eV/atom
space-group type = No. 123